Entry 1:
A plane-wave DFT calculation with GGA-PBE was carried out for a geometry-optimized Sm6DyTmSc2 structure.

The calculation puts the formation energy at 2.918 kcal/mol of atoms. The value obtained for the uncorrected energy is -4.879 eV/atom.

Lattice parameters (Å, degrees): 9.0337 14.9364 9.4494 90.00 97.61 90.00
Space group C2/c (No. 15)
One atom of each set of equivalent atoms:
Sm  0.0622  0.1758  0.4474
Sm  0.0980  0.3956  0.6175
Sm  0.2147  0.2261  0.8169
Dy  0.0000  0.0282  0.7500
Tm  0.0000  0.4091  0.2500
Sc  0.2495  0.0502  0.0482


Entry 2:
A plane-wave DFT calculation with GGA-PBE was carried out for a geometry-optimized Sm2DyTm6Sc structure.

The calculation puts the formation energy at 2.866 kcal/mol of atoms. The value obtained for the uncorrected energy is -4.596 eV/atom.

Lattice parameters (Å, degrees): 8.9123 14.6983 9.4499 90.00 98.57 90.00
Space group C2/c (No. 15)
One atom of each set of equivalent atoms:
Sm  0.2495  0.0513  0.0462
Dy  0.0000  0.0189  0.7500
Tm  0.0634  0.1908  0.4420
Tm  0.1008  0.3946  0.6164
Tm  0.2086  0.2208  0.8100
Sc  0.0000  0.4101  0.2500


Entry 3:
A plane-wave DFT calculation with GGA-PBE was carried out for a geometry-optimized Sm6DyTm2Sc structure.

The calculation puts the formation energy at 2.971 kcal/mol of atoms. The value obtained for the uncorrected energy is -4.690 eV/atom.

Lattice parameters (Å, degrees): 9.1869 15.0833 9.3407 90.00 96.31 90.00
Space group C2/c (No. 15)
One atom of each set of equivalent atoms:
Sm  0.0559  0.1778  0.4476
Sm  0.0982  0.3886  0.6130
Sm  0.2229  0.2184  0.8072
Dy  0.0000  0.0269  0.7500
Tm  0.2450  0.4502  0.9511
Sc  0.0000  0.4189  0.2500


Entry 4:
A plane-wave DFT calculation with GGA-PBE was carried out for a geometry-optimized SmDy2TmSc2 structure.

The calculation puts the formation energy at 6.496 kcal/mol of atoms. The value obtained for the uncorrected energy is -4.895 eV/atom.

Lattice parameters (Å, degrees): 6.2835 17.3213 3.3313 90.00 90.00 90.00
Space group Pnnm (No. 58)
One atom of each set of equivalent atoms:
Sm  0.0000  0.0000  0.0000
Dy  0.2266  0.3098  0.0000
Tm  0.0000  0.5000  0.0000
Sc  0.2259  0.1460  0.5000


Entry 5:
A plane-wave DFT calculation with GGA-PBE was carried out for a geometry-optimized Sm2DyTmSc4 structure.

The calculation puts the formation energy at 1.403 kcal/mol of atoms. The value obtained for the uncorrected energy is -5.419 eV/atom.

Lattice parameters (Å, degrees): 5.9434 3.4310 11.1679 90.00 100.12 90.00
Space group P2/m (No. 10)
One atom of each set of equivalent atoms:
Sm  0.0000  0.0000  0.0000
Sm  0.0000  0.5000  0.5000
Dy  0.5000  0.0000  0.5000
Tm  0.5000  0.5000  0.0000
Sc  0.2506  0.5000  0.2495
Sc  0.2517  0.0000  0.7507


Entry 6:
A plane-wave DFT calculation with GGA-PBE was carried out for a geometry-optimized SmDy2TmSc4 structure.

The calculation puts the formation energy at 1.225 kcal/mol of atoms. The value obtained for the uncorrected energy is -5.412 eV/atom.

Lattice parameters (Å, degrees): 4.8903 4.8903 9.3266 90.00 90.00 90.00
Space group P4/mmm (No. 123)
One atom of each set of equivalent atoms:
Sm  0.0000  0.0000  0.0000
Dy  0.0000  0.0000  0.5000
Dy  0.5000  0.5000  0.0000
Tm  0.5000  0.5000  0.5000
Sc  0.0000  0.5000  0.2518


Entry 7:
A plane-wave DFT calculation with GGA-PBE was carried out for a geometry-optimized Sm6Dy2Tm3Sc structure.

The calculation puts the formation energy at 0.592 kcal/mol of atoms. The value obtained for the uncorrected energy is -4.746 eV/atom.

Lattice parameters (Å, degrees): 6.1625 10.6697 11.6603 90.00 100.11 90.00
Space group C2/m (No. 12)
One atom of each set of equivalent atoms:
Sm  0.2482  0.0000  0.2507
Sm  0.2480  0.1653  0.7490
Dy  0.0000  0.3333  0.5000
Tm  0.0000  0.1665  0.0000
Tm  0.0000  0.5000  0.0000
Sc  0.0000  0.0000  0.5000


Entry 8:
A plane-wave DFT calculation with GGA-PBE was carried out for a geometry-optimized SmDyTm2Sc2 structure.

The calculation puts the formation energy at 6.512 kcal/mol of atoms. The value obtained for the uncorrected energy is -4.872 eV/atom.

Lattice parameters (Å, degrees): 6.2641 17.2244 3.3262 90.00 90.00 90.00
Space group Pnnm (No. 58)
One atom of each set of equivalent atoms:
Sm  0.0000  0.0000  0.0000
Dy  0.0000  0.5000  0.0000
Tm  0.2231  0.1906  0.0000
Sc  0.2210  0.3532  0.5000


Entry 9:
A plane-wave DFT calculation with GGA-PBE was carried out for a geometry-optimized Sm2DyTmSc structure.

The calculation puts the formation energy at 8.649 kcal/mol of atoms. The value obtained for the uncorrected energy is -4.594 eV/atom.

Lattice parameters (Å, degrees): 8.1710 11.2660 7.1174 90.00 90.00 90.00
Space group Cmcm (No. 63)
One atom of each set of equivalent atoms:
Sm  0.1985  0.0000  0.0000
Dy  0.0000  0.2305  0.2500
Tm  0.0000  0.2344  0.7500
Sc  0.0000  0.4962  0.2500


Entry 10:
A plane-wave DFT calculation with GGA-PBE was carried out for a geometry-optimized SmDy2Tm2Sc2 structure.

The calculation puts the formation energy at 3.279 kcal/mol of atoms. The value obtained for the uncorrected energy is -4.933 eV/atom.

Lattice parameters (Å, degrees): 16.3762 3.3818 8.4615 90.00 117.05 90.00
Space group C2/m (No. 12)
One atom of each set of equivalent atoms:
Sm  0.0000  0.0000  0.0000
Dy  0.1392  0.5000  0.4088
Tm  0.0828  0.0000  0.7050
Sc  0.2224  0.0000  0.1426


Entry 11:
A plane-wave DFT calculation with GGA-PBE was carried out for a geometry-optimized Sm3Dy2Tm6Sc structure.

The calculation puts the formation energy at 0.711 kcal/mol of atoms. The value obtained for the uncorrected energy is -4.679 eV/atom.

Lattice parameters (Å, degrees): 6.0923 10.5449 11.6110 90.00 100.05 90.00
Space group C2/m (No. 12)
One atom of each set of equivalent atoms:
Sm  0.0000  0.0000  0.0000
Sm  0.0000  0.3335  0.0000
Dy  0.0000  0.1665  0.5000
Tm  0.2470  0.3345  0.7456
Tm  0.2494  0.5000  0.2543
Sc  0.0000  0.5000  0.5000


Entry 12:
A plane-wave DFT calculation with GGA-PBE was carried out for a geometry-optimized SmDy2Tm6Sc3 structure.

The calculation puts the formation energy at 1.021 kcal/mol of atoms. The value obtained for the uncorrected energy is -4.935 eV/atom.

Lattice parameters (Å, degrees): 5.9992 10.3822 11.3959 90.00 100.07 90.00
Space group C2/m (No. 12)
One atom of each set of equivalent atoms:
Sm  0.0000  0.0000  0.0000
Dy  0.0000  0.3334  0.0000
Tm  0.2462  0.3332  0.7405
Tm  0.2466  0.0000  0.7405
Sc  0.0000  0.1667  0.5000
Sc  0.0000  0.5000  0.5000